(1)
VASP calculation (PBE) on a relaxed PrNd2Y3Er6 crystal.

Structure (CIF):
```
data_PrNd2Y3Er6
_cell_length_a 6.191
_cell_length_b 6.191
_cell_length_c 11.790
_cell_angle_alpha 95.01
_cell_angle_beta 95.01
_cell_angle_gamma 119.96
_symmetry_space_group_name_H-M 'P 1'
_symmetry_Int_Tables_number 1
_symmetry_space_group_name_Hall 'P 1'
loop_
_atom_site_label
_atom_site_fract_x
_atom_site_fract_y
_atom_site_fract_z
Pr1 0.000 0.000 0.000
Nd1 0.333 0.667 0.000
Nd2 0.667 0.333 0.000
Y1 0.167 0.833 0.500
Y2 0.833 0.167 0.500
Y3 0.500 0.500 0.500
Er1 0.915 0.581 0.747
Er2 0.752 0.752 0.253
Er3 0.085 0.419 0.253
Er4 0.581 0.915 0.747
Er5 0.248 0.248 0.747
Er6 0.419 0.085 0.253
```

Values from the calculation:
ρ in Mg/m³: 7.3
Total moment in μB/f.u.: 0.00
D(E_F) in states/eV/cell: 16.781
Total DFT energy (no corrections) in eV per atom: -5.07



(2)
VASP calculation (PBE) on a relaxed SnHgP14 crystal.

Structure (CIF):
```
data_SnHgP14
_cell_length_a 9.869
_cell_length_b 11.070
_cell_length_c 13.457
_cell_angle_alpha 90.00
_cell_angle_beta 90.00
_cell_angle_gamma 90.00
_symmetry_space_group_name_H-M 'P 1'
_symmetry_Int_Tables_number 1
_symmetry_space_group_name_Hall 'P 1'
loop_
_atom_site_label
_atom_site_fract_x
_atom_site_fract_y
_atom_site_fract_z
Sn1 0.250 0.903 0.167
Sn2 0.750 0.097 0.833
Sn3 0.750 0.403 0.333
Sn4 0.250 0.597 0.667
Hg1 0.250 0.996 0.817
Hg2 0.750 0.004 0.183
Hg3 0.750 0.496 0.683
Hg4 0.250 0.504 0.317
P1 0.250 0.838 0.974
P2 0.750 0.162 0.026
P3 0.750 0.338 0.526
P4 0.250 0.662 0.474
P5 0.250 0.393 0.909
P6 0.750 0.607 0.091
P7 0.750 0.893 0.591
P8 0.250 0.107 0.409
P9 0.076 0.152 0.024
P10 0.576 0.848 0.976
P11 0.924 0.652 0.476
P12 0.424 0.348 0.524
P13 0.924 0.848 0.976
P14 0.424 0.152 0.024
P15 0.076 0.348 0.524
P16 0.576 0.652 0.476
P17 0.582 0.289 0.057
P18 0.082 0.711 0.943
P19 0.418 0.789 0.443
P20 0.918 0.211 0.557
P21 0.418 0.711 0.943
P22 0.918 0.289 0.057
P23 0.582 0.211 0.557
P24 0.082 0.789 0.443
P25 0.077 0.589 0.081
P26 0.577 0.411 0.919
P27 0.923 0.089 0.419
P28 0.423 0.911 0.581
P29 0.923 0.411 0.919
P30 0.423 0.589 0.081
P31 0.077 0.911 0.581
P32 0.577 0.089 0.419
P33 0.076 0.176 0.320
P34 0.576 0.824 0.680
P35 0.924 0.676 0.180
P36 0.424 0.324 0.820
P37 0.924 0.824 0.680
P38 0.424 0.176 0.320
P39 0.076 0.324 0.820
P40 0.576 0.676 0.180
P41 0.045 0.366 0.363
P42 0.545 0.634 0.637
P43 0.955 0.866 0.137
P44 0.455 0.134 0.863
P45 0.955 0.634 0.637
P46 0.455 0.366 0.363
P47 0.045 0.134 0.863
P48 0.545 0.866 0.137
P49 0.250 0.277 0.046
P50 0.750 0.723 0.954
P51 0.750 0.777 0.454
P52 0.250 0.223 0.546
P53 0.250 0.656 0.171
P54 0.750 0.344 0.829
P55 0.750 0.156 0.329
P56 0.250 0.844 0.671
```

Values from the calculation:
ρ in Mg/m³: 3.4
Total moment in μB/f.u.: 0.00
Total DFT energy (no corrections) in eV per atom: -5.01



(3)
VASP calculation (PBE) on a relaxed Pu2UO8 crystal.

Structure (CIF):
```
data_Pu2UO8
_cell_length_a 3.817
_cell_length_b 6.545
_cell_length_c 6.400
_cell_angle_alpha 96.83
_cell_angle_beta 90.00
_cell_angle_gamma 106.95
_symmetry_space_group_name_H-M 'P 1'
_symmetry_Int_Tables_number 1
_symmetry_space_group_name_Hall 'P 1'
loop_
_atom_site_label
_atom_site_fract_x
_atom_site_fract_y
_atom_site_fract_z
Pu1 0.749 0.498 0.745
Pu2 0.251 0.502 0.255
U1 0.500 0.000 0.000
O1 0.434 0.868 0.257
O2 0.699 0.399 0.074
O3 0.800 0.600 0.434
O4 0.922 0.845 0.853
O5 0.200 0.400 0.566
O6 0.301 0.601 0.926
O7 0.566 0.132 0.743
O8 0.078 0.155 0.147
```

Values from the calculation:
ρ in Mg/m³: 9.3
Total moment in μB/f.u.: 6.00
D(E_F) in states/eV/cell: 10.244
Energy relative to the elements, uncorrected in eV per atom: -2.79



- Among the records above, which one has the lowest ρ?
  SnHgP14